This record from Alexandria via LeMat-Bulk describes a geometry-optimized Dy2LuPu structure. The functional is GGA-PBE.

The value obtained for the magnetization is 6.300 μB/f.u. The value obtained for the electronic total energy is -0.2528 Ha/atom. The calculation puts the energy relative to the lowest polymorph listed for this composition at 37 meV per atom.

The space group is P4/mmm (No. 123) and the conventional cell measures 4.9328, 4.9328 and 4.9175 Å, with angles of 90.00, 90.00 and 90.00 degrees. The asymmetric unit holds Dy at (0.0000, 0.5000, 0.0000), Lu at (0.0000, 0.0000, 0.5000) and Pu at (0.5000, 0.5000, 0.5000).